Entry 1:
{
  "formula": "YEr3Ru",
  "functional": "GGA-PBE",
  "state": "relaxed",
  "lattice_angstrom": [[-0.430, 4.678, -1.287], [0.916, -3.863, -5.094], [-9.479, -1.110, -0.863]],
  "species": ["Er", "Er", "Er", "Y", "Er", "Er", "Ru", "Y", "Er", "Ru"],
  "frac_coords": [[0.134, 0.269, 0.000], [0.364, 0.727, 0.250], [0.866, 0.731, 0.500], [0.637, 0.276, 0.250], [0.866, 0.731, 0.000], [0.134, 0.269, 0.500], [0.003, 0.006, 0.750], [0.363, 0.724, 0.750], [0.636, 0.273, 0.750], [0.997, 0.994, 0.250]],
  "e_form_mev_per_atom": -151,
  "n_ef_per_ev_atom": 0.841,
  "crystal_system": "monoclinic"
}

Entry 2:
{
  "formula": "CePa3As4",
  "functional": "GGA-PBE",
  "state": "relaxed",
  "lattice_angstrom": [[4.114, -0.051, 0.070], [0.051, 6.848, 1.998], [-0.117, 0.396, 7.121]],
  "species": ["As", "Pa", "Pa", "Ce", "As", "Pa", "As", "As"],
  "frac_coords": [[0.500, 0.248, 0.748], [0.000, 0.500, 0.500], [0.000, 0.000, 0.000], [0.500, 0.500, 0.000], [0.000, 0.754, 0.746], [0.500, 0.000, 0.500], [0.500, 0.752, 0.252], [0.000, 0.246, 0.254]],
  "e_form_mev_per_atom": -1152,
  "n_ef_per_ev_atom": 1.308,
  "crystal_system": "orthorhombic"
}

Entry 3:
{
  "formula": "HfGeAs3",
  "functional": "GGA-PBE",
  "state": "relaxed",
  "lattice_angstrom": [[-0.274, 2.124, 4.328], [-4.350, -1.976, 0.694], [2.076, -3.860, 2.026]],
  "species": ["As", "Hf", "As", "Ge", "As"],
  "frac_coords": [[0.500, 0.000, 0.000], [0.500, 0.500, 0.500], [0.000, 0.000, 0.500], [0.000, 0.000, 0.000], [0.000, 0.500, 0.000]],
  "e_form_mev_per_atom": 683,
  "n_ef_per_ev_atom": 0.808,
  "crystal_system": "cubic"
}

Entry 4:
{
  "formula": "Dy5HoSn4",
  "functional": "GGA-PBE",
  "state": "relaxed",
  "lattice_angstrom": [[-3.021, 2.049, -2.498], [1.581, -4.984, -6.001], [-4.964, -5.381, 5.505]],
  "species": ["Dy", "Sn", "Sn", "Dy", "Dy", "Sn", "Ho", "Dy", "Sn", "Dy"],
  "frac_coords": [[0.500, 0.500, 0.000], [0.965, 0.728, 0.931], [0.035, 0.272, 0.069], [0.795, 0.692, 0.590], [0.140, 0.726, 0.280], [0.312, 0.987, 0.624], [0.500, 0.000, 0.000], [0.860, 0.274, 0.720], [0.688, 0.013, 0.376], [0.205, 0.308, 0.410]],
  "e_form_mev_per_atom": -395,
  "n_ef_per_ev_atom": 1.059,
  "crystal_system": "monoclinic"
}

Entry 5:
{
  "formula": "Ti12Tl3Cd",
  "functional": "GGA-PBE",
  "state": "relaxed",
  "lattice_angstrom": [[4.172, 0.000, 0.000], [0.000, 4.172, 0.000], [0.000, 0.000, 16.661]],
  "species": ["Ti", "Cd", "Ti", "Ti", "Ti", "Ti", "Ti", "Ti", "Ti", "Tl", "Ti", "Ti", "Tl", "Tl", "Ti", "Ti"],
  "frac_coords": [[0.500, 0.000, 0.123], [0.000, 0.000, 0.000], [0.500, 0.000, 0.375], [0.000, 0.500, 0.123], [0.500, 0.500, 0.751], [0.500, 0.500, 0.000], [0.500, 0.000, 0.625], [0.500, 0.500, 0.500], [0.500, 0.500, 0.249], [0.000, 0.000, 0.500], [0.500, 0.000, 0.877], [0.000, 0.500, 0.375], [0.000, 0.000, 0.249], [0.000, 0.000, 0.751], [0.000, 0.500, 0.625], [0.000, 0.500, 0.877]],
  "e_form_mev_per_atom": 27,
  "n_ef_per_ev_atom": 1.075,
  "crystal_system": "tetragonal"
}

Entry 6:
{
  "formula": "KMoAs2",
  "functional": "GGA-PBE",
  "state": "relaxed",
  "lattice_angstrom": [[-4.340, 3.360, 0.497], [-1.077, -0.601, -5.371], [-1.601, -2.151, 0.562]],
  "species": ["Mo", "As", "K", "As"],
  "frac_coords": [[0.000, 0.500, 0.500], [0.000, 0.000, 0.000], [0.500, 0.000, 0.500], [0.500, 0.500, 0.000]],
  "e_form_mev_per_atom": 583,
  "n_ef_per_ev_atom": 0.846,
  "crystal_system": "tetragonal"
}

Entry 7:
{
  "formula": "LaW",
  "functional": "GGA-PBE",
  "state": "relaxed",
  "lattice_angstrom": [[3.676, 0.000, 0.000], [0.000, 6.297, 0.000], [0.000, 0.000, 9.279]],
  "species": ["La", "W", "W", "La", "W", "La", "La", "W"],
  "frac_coords": [[0.750, 0.885, 0.815], [0.750, 0.377, 0.967], [0.250, 0.877, 0.533], [0.250, 0.385, 0.685], [0.250, 0.623, 0.033], [0.250, 0.115, 0.185], [0.750, 0.615, 0.315], [0.750, 0.123, 0.467]],
  "e_form_mev_per_atom": 567,
  "n_ef_per_ev_atom": 0.960,
  "crystal_system": "orthorhombic"
}

Entry 8:
{
  "formula": "YMn3V",
  "functional": "GGA-PBE",
  "state": "relaxed",
  "lattice_angstrom": [[-0.764, -0.424, 4.756], [4.546, -1.537, 0.593], [1.460, 4.565, 0.642]],
  "species": ["Y", "V", "Mn", "Mn", "Mn"],
  "frac_coords": [[0.000, 0.000, 0.000], [0.500, 0.500, 0.500], [0.000, 0.000, 0.500], [0.500, 0.000, 0.000], [0.000, 0.500, 0.000]],
  "e_form_mev_per_atom": 1879,
  "n_ef_per_ev_atom": 1.011,
  "crystal_system": "cubic"
}